# 1
Computed, not measured: a relaxed structure of Pa2SbAs at the PBE level of DFT.

Summary:
energy relative to the lowest polymorph listed for this composition: 0.084 eV/atom
SG: P-3m1
energy relative to the elements, uncorrected: -0.66 eV/atom

Lattice parameters (Å, degrees): 4.0040 4.0040 7.6015 90.00 90.00 60.00
With the nearest neighbours (Å) after each atom.
Fractional coordinates of all 4 atoms:
As 0.0000 0.0000 0.0000  6 Pa 2.90
Pa 0.3333 0.3333 0.7705  3 As 2.90, 3 Sb 3.09
Sb 0.0000 0.0000 0.5000  6 Pa 3.09
Pa 0.6667 0.6667 0.2295  3 As 2.90, 3 Sb 3.09

# 2
Computed, not measured: a relaxed structure of Pa5Sb5As at the PBE level of DFT.

Summary:
SG: C2/m
energy relative to the elements, uncorrected: -0.45 eV/atom

Lattice parameters (Å, degrees): 6.0567 7.3748 8.5795 107.37 90.00 114.24
With the nearest neighbours (Å) after each atom.
Fractional coordinates of all 11 atoms:
Sb 0.6528 0.3057 0.8056  5 Pa 3.04-3.19
Pa 0.1632 0.3263 0.8466  1 As 2.90, 5 Sb 3.05-3.20
As 0.0000 0.0000 0.0000  6 Pa 2.86-3.03
Pa 0.5000 0.0000 0.0000  2 As 3.03, 4 Sb 3.04-3.07
Sb 0.6677 0.3354 0.3428  5 Pa 3.04-3.20
Sb 0.3323 0.6646 0.6572  5 Pa 3.04-3.20
Pa 0.8368 0.6737 0.1534  1 As 2.90, 5 Sb 3.05-3.20
Pa 0.8409 0.6818 0.6824  1 As 2.86, 5 Sb 3.04-3.08
Pa 0.1591 0.3182 0.3176  1 As 2.86, 5 Sb 3.04-3.08
Sb 0.0000 0.0000 0.5000  4 Pa 3.04-3.06
Sb 0.3472 0.6943 0.1944  5 Pa 3.04-3.19

# 3
Computed, not measured: a relaxed structure of Pa4SbAs3 at the PBE level of DFT.

Summary:
SG: Pmmm
energy relative to the elements, uncorrected: -0.87 eV/atom

Lattice parameters (Å, degrees): 4.1430 5.8974 8.3628 90.00 90.00 90.00
With the nearest neighbours (Å) after each atom.
Fractional coordinates of all 8 atoms:
Pa 0.0000 0.5000 0.5000  6 As 2.94-2.95
As 0.5000 0.5000 0.7502  6 Pa 2.94-2.95
As 0.5000 0.5000 0.2498  6 Pa 2.94-2.95
As 0.0000 0.0000 0.5000  6 Pa 2.85-2.95
Pa 0.5000 0.0000 0.7334  4 As 2.85-2.95, 2 Sb 3.04
Pa 0.0000 0.5000 0.0000  4 As 2.94, 2 Sb 2.95
Pa 0.5000 0.0000 0.2666  4 As 2.85-2.95, 2 Sb 3.04
Sb 0.0000 0.0000 0.0000  6 Pa 2.95-3.04

# 4
Computed, not measured: a relaxed structure of Pa2SbAs at the PBE level of DFT.

Summary:
energy relative to the lowest polymorph listed for this composition: 0.000 eV/atom
SG: R-3m
energy relative to the elements, uncorrected: -0.75 eV/atom

Lattice parameters (Å, degrees): 4.1914 4.1914 7.4213 73.60 73.60 60.00
With the nearest neighbours (Å) after each atom.
Fractional coordinates of all 4 atoms:
Pa 0.7584 0.7584 0.7247  3 As 2.89, 3 Sb 3.10
Pa 0.2416 0.2416 0.2753  3 As 2.89, 3 Sb 3.10
As 0.5000 0.5000 0.5000  6 Pa 2.89
Sb 0.0000 0.0000 0.0000  6 Pa 3.10

# 5
Computed, not measured: a relaxed structure of PaSbAs at the PBE level of DFT.

Summary:
energy relative to the lowest polymorph listed for this composition: 0.206 eV/atom
SG: P4/nmm
energy relative to the elements, uncorrected: -0.52 eV/atom

Lattice parameters (Å, degrees): 4.7542 4.7542 7.5787 90.00 90.00 90.00
With the nearest neighbours (Å) after each atom.
Fractional coordinates of all 6 atoms:
Pa 0.7500 0.7500 0.7974  4 As 2.83
Sb 0.2500 0.7500 0.5000  4 Pa 3.28, 4 Sb 3.36
As 0.7500 0.2500 0.0000  4 Pa 2.83
As 0.2500 0.7500 0.0000  4 Pa 2.83
Pa 0.2500 0.2500 0.2026  4 As 2.83
Sb 0.7500 0.2500 0.5000  4 Pa 3.28, 4 Sb 3.36

# 6
Computed, not measured: a relaxed structure of Pa4Sb2AsSe at the PBE level of DFT.

Summary:
SG: P2/m
energy relative to the elements, uncorrected: -0.79 eV/atom

Lattice parameters (Å, degrees): 4.2387 7.2937 7.3025 70.31 90.00 90.00
With the nearest neighbours (Å) after each atom.
Fractional coordinates of all 8 atoms:
As 0.5000 0.5000 0.0000  6 Pa 2.88
Sb 0.5000 0.0000 0.5000  6 Pa 3.10
Pa 0.0000 0.7224 0.7594  2 As 2.88, 1 Se 2.88, 3 Sb 3.10
Pa 0.5000 0.2783 0.7405  1 As 2.88, 2 Se 2.88, 3 Sb 3.10
Pa 0.5000 0.7217 0.2595  1 As 2.88, 2 Se 2.88, 3 Sb 3.10
Pa 0.0000 0.2776 0.2406  2 As 2.88, 1 Se 2.88, 3 Sb 3.10
Se 0.0000 0.5000 0.5000  6 Pa 2.88
Sb 0.0000 0.0000 0.0000  6 Pa 3.10

# 7
Computed, not measured: a relaxed structure of Pa4SbAsSe2 at the PBE level of DFT.

Summary:
SG: P2/m
energy relative to the elements, uncorrected: -0.97 eV/atom

Lattice parameters (Å, degrees): 4.1943 6.9768 7.3477 69.93 90.00 90.00
With the nearest neighbours (Å) after each atom.
Fractional coordinates of all 8 atoms:
As 0.5000 0.5000 0.0000  6 Pa 2.93-2.94
Sb 0.0000 0.5000 0.5000  6 Pa 3.04-3.05
Se 0.0000 0.0000 0.0000  6 Pa 2.83
Pa 0.0000 0.7591 0.7593  3 Se 2.83-2.94, 2 As 2.93, 1 Sb 3.04
Pa 0.5000 0.2298 0.7689  3 Se 2.83-2.94, 1 As 2.94, 2 Sb 3.05
Se 0.5000 0.0000 0.5000  6 Pa 2.94
Pa 0.0000 0.2409 0.2407  3 Se 2.83-2.94, 2 As 2.93, 1 Sb 3.04
Pa 0.5000 0.7702 0.2311  3 Se 2.83-2.94, 1 As 2.94, 2 Sb 3.05

# 8
Computed, not measured: a relaxed structure of ScPaAs2 at the PBE level of DFT.

Summary:
energy of formation from the pure elements: -0.36 eV/atom
energy relative to the lowest polymorph listed for this composition: 0.822 eV/atom
SG: R-3m

Lattice parameters (Å, degrees): 4.1834 4.1834 8.5100 75.77 75.77 60.00
With the nearest neighbours (Å) after each atom.
Fractional coordinates of all 4 atoms:
As 0.1057 0.1057 0.6830  1 Sc 2.59, 3 Pa 2.84
As 0.8943 0.8943 0.3170  1 Sc 2.59, 3 Pa 2.84
Sc 0.0000 0.0000 0.0000  2 As 2.59
Pa 0.5000 0.5000 0.5000  6 As 2.84

# 9
Computed, not measured: a relaxed structure of ScPaAs2 at the PBE level of DFT.

Summary:
energy of formation from the pure elements: -1.18 eV/atom
energy relative to the lowest polymorph listed for this composition: 0.000 eV/atom
SG: I4_1/amd

Lattice parameters (Å, degrees): 5.6832 5.6832 6.9229 114.23 114.23 90.00
With the nearest neighbours (Å) after each atom.
Fractional coordinates of all 8 atoms:
Pa 0.7500 0.2500 0.5000  6 As 2.84-2.88
As 0.7448 0.7448 0.4896  3 Sc 2.76-2.84, 3 Pa 2.84-2.88
Pa 0.0000 0.0000 0.0000  6 As 2.84-2.88
Sc 0.2500 0.7500 0.5000  6 As 2.76-2.84
As 0.2552 0.2552 0.5104  3 Sc 2.76-2.84, 3 Pa 2.84-2.88
Sc 0.5000 0.5000 0.0000  6 As 2.76-2.84
As 0.4948 0.9948 0.9896  3 Sc 2.76-2.84, 3 Pa 2.84-2.88
As 0.0052 0.5052 0.0104  3 Sc 2.76-2.84, 3 Pa 2.84-2.88

# 10
Computed, not measured: a relaxed structure of ScPa2As3 at the PBE level of DFT.

Summary:
energy of formation from the pure elements: -1.14 eV/atom
energy relative to the lowest polymorph listed for this composition: 0.000 eV/atom
SG: C2/m

Lattice parameters (Å, degrees): 6.9810 6.9810 6.9773 99.65 99.65 120.05
With the nearest neighbours (Å) after each atom.
Fractional coordinates of all 12 atoms:
Sc 0.6660 0.3340 0.0000  6 As 2.77-2.79
Pa 0.8333 0.1667 0.5000  6 As 2.85-2.91
As 0.4134 0.0892 0.2403  2 Sc 2.78-2.79, 4 Pa 2.86-2.92
Pa 0.1696 0.8304 0.5000  6 As 2.86-2.92
Pa 0.4971 0.5029 0.5000  6 As 2.86-2.92
As 0.7559 0.7468 0.2403  2 Sc 2.78-2.79, 4 Pa 2.86-2.92
As 0.5979 0.9313 0.7642  2 Sc 2.77, 4 Pa 2.85-2.91
As 0.2532 0.2441 0.7597  2 Sc 2.78-2.79, 4 Pa 2.86-2.92
Pa 0.3333 0.6667 0.0000  6 As 2.86
As 0.0687 0.4021 0.2358  2 Sc 2.77, 4 Pa 2.85-2.91
Sc 0.0007 0.9993 0.0000  6 As 2.77-2.79
As 0.9108 0.5866 0.7597  2 Sc 2.78-2.79, 4 Pa 2.86-2.92

Number 1: total DFT energy (no corrections) -7.604 eV/atom, mass density 10.4 g cm⁻³. Number 2: total DFT energy (no corrections) -7.066 eV/atom, mass density 9.2 g cm⁻³. Number 3: total DFT energy (no corrections) -7.878 eV/atom, mass density 10.3 g cm⁻³. Number 4: total DFT energy (no corrections) -7.688 eV/atom, mass density 10.2 g cm⁻³. Number 5: total DFT energy (no corrections) -6.609 eV/atom, mass density 8.3 g cm⁻³. Number 6: total DFT energy (no corrections) -7.584 eV/atom, mass density 10.3 g cm⁻³. Number 7: total DFT energy (no corrections) -7.683 eV/atom, mass density 10.5 g cm⁻³. Number 8: total DFT energy (no corrections) -6.642 eV/atom, mass density 5.7 g cm⁻³. Number 9: total DFT energy (no corrections) -7.463 eV/atom, mass density 7.8 g cm⁻³. Number 10: total DFT energy (no corrections) -7.687 eV/atom, mass density 8.8 g cm⁻³.